DFT (PBE) results for crystalline Ca2ZnSbF at its relaxed geometry.

```
Ca2ZnSbF
1.0
5.706 0.000 0.000
0.000 4.931 0.000
0.000 0.000 5.706
Ca Zn Sb F
2 1 1 1
Direct
0.000 0.000 0.500
0.500 0.000 0.000
0.000 0.000 0.000
0.000 0.500 0.000
0.500 0.500 0.500
```

The calculation puts the polymorph energy (0 for the lowest one) at 201 meV/atom. Its total energy is -2.85 eV/atom. The calculation puts the volume at 160.5 Å³/cell. Its total magnetization is 0.0 μB per cell. The uncorrected formation energy comes out at -0.59 eV per atom.

DFT (PBE) results for crystalline Ca2ZnSbF at its relaxed geometry.

```
Ca2ZnSbF
1.0
-2.960 2.351 -4.323
-0.856 -3.812 -1.487
-4.778 -0.167 3.180
F Sb Ca Zn
1 1 2 1
Direct
0.000 0.500 0.000
0.500 0.500 0.500
0.000 0.000 0.500
0.500 0.000 0.000
0.000 0.000 0.000
```

The calculation puts the polymorph energy (0 for the lowest one) at 0 meV/atom. Its total energy is -3.05 eV/atom. The calculation puts the volume at 137.8 Å³/cell. Its total magnetization is 0.0 μB per cell. The uncorrected formation energy comes out at -0.79 eV per atom.

DFT (PBE) results for crystalline CaZnSbF at its relaxed geometry.

```
CaZnSbF
1.0
4.198 0.000 0.000
0.000 4.198 0.000
0.000 0.000 9.319
Zn Sb F Ca
2 2 2 2
Direct
0.000 0.000 0.000
0.500 0.500 0.000
0.500 0.000 0.189
0.000 0.500 0.811
0.000 0.000 0.500
0.500 0.500 0.500
0.500 0.000 0.630
0.000 0.500 0.370
```

Its total energy is -4.03 eV/atom. The calculation puts the volume at 164.2 Å³/cell. Its total magnetization is 0.0 μB per cell. The uncorrected formation energy comes out at -1.71 eV per atom.

DFT (PBE) results for crystalline CaScF2 at its relaxed geometry.

```
CaScF2
1.0
5.398 0.000 0.000
0.000 5.398 0.000
2.699 2.699 5.281
F Sc Ca
4 2 2
Direct
0.628 0.125 0.250
0.122 0.625 0.250
0.875 0.878 0.750
0.375 0.372 0.750
0.750 0.250 0.500
0.000 0.000 0.000
0.500 0.500 0.000
0.250 0.750 0.500
```

The calculation puts the polymorph energy (0 for the lowest one) at 335 meV/atom. Its total energy is -5.35 eV/atom. The calculation puts the volume at 153.9 Å³/cell. Its total magnetization is 4.3 μB per cell. The uncorrected formation energy comes out at -2.33 eV per atom.

DFT (PBE) results for crystalline CaScF3 at its relaxed geometry.

```
CaScF3
1.0
-3.141 0.198 -3.139
1.375 -3.904 -1.622
-2.829 -2.117 2.697
F Ca Sc
3 1 1
Direct
0.000 0.500 0.000
0.000 0.000 0.500
0.500 0.000 0.000
0.000 0.000 0.000
0.500 0.500 0.500
```

The calculation puts the polymorph energy (0 for the lowest one) at 124 meV/atom. Its total energy is -5.40 eV/atom. The calculation puts the volume at 87.8 Å³/cell. Its total magnetization is 1.7 μB per cell. The uncorrected formation energy comes out at -2.61 eV per atom.

DFT (PBE) results for crystalline Ca3Sc5F12 at its relaxed geometry.

```
Ca3Sc5F12
1.0
-4.492 10.645 2.157
-4.847 -4.392 -9.766
-2.292 -7.129 9.060
Sc F Ca
20 48 12
Direct
0.000 0.500 0.000
0.125 0.375 0.250
0.250 0.375 0.625
0.375 0.125 0.750
0.875 0.625 0.750
0.500 0.000 0.500
0.000 0.000 0.500
0.750 0.125 0.875
0.375 0.250 0.125
0.000 0.000 0.000
0.000 0.500 0.500
0.125 0.750 0.375
0.250 0.875 0.125
0.500 0.500 0.500
0.500 0.500 0.000
0.750 0.625 0.375
0.500 0.000 0.000
0.625 0.750 0.875
0.625 0.875 0.250
0.875 0.250 0.625
0.945 0.106 0.656
0.894 0.055 0.844
0.839 0.894 0.050
0.555 0.844 0.394
0.445 0.289 0.339
0.844 0.289 0.450
0.156 0.445 0.106
0.161 0.106 0.950
0.550 0.211 0.156
0.161 0.055 0.711
0.789 0.339 0.945
0.450 0.661 0.106
0.394 0.344 0.555
0.344 0.394 0.055
0.445 0.156 0.606
0.950 0.344 0.289
0.894 0.839 0.550
0.339 0.550 0.394
0.106 0.945 0.156
0.661 0.211 0.555
0.450 0.789 0.844
0.289 0.844 0.950
0.950 0.606 0.161
0.555 0.711 0.661
0.606 0.950 0.661
0.344 0.950 0.789
0.339 0.789 0.445
0.656 0.050 0.211
0.106 0.161 0.450
0.550 0.339 0.894
0.055 0.894 0.344
0.711 0.156 0.050
0.789 0.450 0.344
0.656 0.606 0.945
0.661 0.450 0.606
0.711 0.555 0.161
0.156 0.711 0.550
0.945 0.839 0.789
0.211 0.661 0.055
0.394 0.050 0.339
0.050 0.394 0.839
0.289 0.445 0.839
0.055 0.161 0.211
0.211 0.550 0.656
0.844 0.555 0.894
0.606 0.656 0.445
0.050 0.656 0.711
0.839 0.945 0.289
0.250 0.625 0.875
0.375 0.625 0.250
0.125 0.875 0.750
0.875 0.750 0.125
0.750 0.375 0.125
0.750 0.875 0.625
0.250 0.125 0.375
0.625 0.375 0.750
0.625 0.250 0.375
0.125 0.250 0.875
0.875 0.125 0.250
0.375 0.750 0.625
```

Its total energy is -5.99 eV/atom. The calculation puts the volume at 1250.0 Å³/cell. Its total magnetization is 17.6 μB per cell. The uncorrected formation energy comes out at -2.98 eV per atom.

DFT (PBE) results for crystalline CaScF3 at its relaxed geometry.

```
CaScF3
1.0
4.357 0.000 0.000
0.000 4.357 0.000
0.000 0.000 4.357
F Ca Sc
3 1 1
Direct
0.000 0.000 0.500
0.500 0.000 0.000
0.000 0.500 0.000
0.500 0.500 0.500
0.000 0.000 0.000
```

The calculation puts the polymorph energy (0 for the lowest one) at 0 meV/atom. Its total energy is -5.53 eV/atom. The calculation puts the volume at 82.7 Å³/cell. Its total magnetization is 1.0 μB per cell. The uncorrected formation energy comes out at -2.74 eV per atom.

DFT (PBE) results for crystalline CaScF2 at its relaxed geometry.

```
CaScF2
1.0
3.985 -1.190 1.843
0.111 -2.903 3.500
1.611 -4.213 -0.589
Sc F Ca
1 2 1
Direct
0.500 0.500 0.500
0.750 0.750 0.750
0.250 0.250 0.250
0.000 0.000 0.000
```

The calculation puts the polymorph energy (0 for the lowest one) at 1001 meV/atom. Its total energy is -4.68 eV/atom. The calculation puts the volume at 66.5 Å³/cell. Its total magnetization is 2.5 μB per cell. The uncorrected formation energy comes out at -1.66 eV per atom.